VASP calculation (PBE) on crystalline TaRu2Se at its relaxed geometry.

Output
Space group: No. 8
DOS(E_F), states/eV/cell: 2.942
E_form (uncorrected), eV per atom: 0.028
Uncorrected energy, eV/atom: -8.444

a = 5.0590 Å, b = 5.0590 Å, c = 4.4110 Å
α = 86.45°, β = 86.45°, γ = 34.57°
Atoms (fractional coordinates):
Ru (0.2770, 0.2770, 0.2196)
Ru (0.0042, 0.0042, 0.0196)
Se (0.4902, 0.4902, 0.5004)
Ta (0.7286, 0.7286, 0.7604)

***

VASP calculation (PBE) on crystalline TaRuSe2 at its relaxed geometry.

Output
Space group: No. 8
DOS(E_F), states/eV/cell: 2.893
Excess energy over the best structure of this formula in the dataset, eV per atom: 0.223
E_form (uncorrected), eV per atom: -0.173
Uncorrected energy, eV/atom: -7.198

a = 4.7151 Å, b = 4.7151 Å, c = 6.3734 Å
α = 82.10°, β = 82.10°, γ = 42.53°
Atoms (fractional coordinates):
Se (0.0020, 0.0020, 0.1152)
Se (0.7715, 0.7715, 0.6221)
Ru (0.2198, 0.2198, 0.3352)
Ta (0.5067, 0.5067, 0.4275)

***

VASP calculation (PBE) on crystalline TaRuSe2 at its relaxed geometry.

Output
Space group: No. 123
DOS(E_F), states/eV/cell: 2.908
Excess energy over the best structure of this formula in the dataset, eV per atom: 0.370
E_form (uncorrected), eV per atom: -0.026
Uncorrected energy, eV/atom: -7.051

a = 3.2017 Å, b = 4.4629 Å, c = 4.4629 Å
α = 90.00°, β = 90.00°, γ = 90.00°
Atoms (fractional coordinates):
Ta (0.5000, 0.5000, 0.0000)
Ru (0.5000, 0.0000, 0.5000)
Se (0.0000, 0.0000, 0.0000)
Se (0.0000, 0.5000, 0.5000)